Record 1
A plane-wave DFT calculation with GGA+U was carried out for a relaxed CrInIO2 crystal.

Unit cell a=4.136 b=4.136 c=6.501 alpha=90.00 beta=90.00 gamma=90.00
Space group P4/mmm (No. 123)
Asymmetric unit:
Cr1 0.000 0.000 0.000 x1
In1 0.500 0.500 0.500 x1
I1 0.500 0.500 0.000 x1
O1 0.000 0.500 0.500 x2

Values from the calculation:
Spin magnetization (μB/cell): 5.45
Calculated volume (Å³/atom): 22.2
Calculated total energy (eV per cell): -23.36
DOS(E_F) (states/eV per cell): 2.0

Record 2
A plane-wave DFT calculation with GGA+U was carried out for a relaxed CrInIO2 crystal.

Unit cell a=4.152 b=4.152 c=5.530 alpha=90.00 beta=90.00 gamma=90.00
Space group P4/mmm (No. 123)
Asymmetric unit:
Cr1 0.000 0.000 0.000 x1
In1 0.500 0.500 0.500 x1
I1 0.000 0.000 0.500 x1
O1 0.000 0.500 0.000 x2

Values from the calculation:
Spin magnetization (μB/cell): 2.43
Calculated volume (Å³/atom): 19.1
Calculated total energy (eV per cell): -23.72
DOS(E_F) (states/eV per cell): 3.6